1.
Ac4TbDy PBE optimized geometry; energy above the lowest structure with this stoichiometry = 244.8 meV per atom; ΔH_f (0 K) = 0.385 eV/atom
1.0
0.000 5.041 5.041
5.041 0.000 5.041
5.041 5.041 0.000
Ac Tb Dy
4 1 1
Direct
0.125 0.125 0.125
0.125 0.125 0.625
0.125 0.625 0.125
0.625 0.125 0.125
0.750 0.750 0.750
0.500 0.500 0.500



2.
Ac2CeSn3Ir4 PBE optimized geometry; ΔH_f (0 K) = -0.645 eV/atom
1.0
4.580 0.000 0.000
0.000 4.580 0.000
0.000 0.000 11.360
Ac Ce Sn Ir
2 1 3 4
Direct
0.000 0.500 0.230
0.500 0.000 0.770
0.000 0.000 0.500
0.000 0.500 0.874
0.500 0.000 0.126
0.500 0.500 0.500
0.000 0.000 0.000
0.000 0.500 0.639
0.500 0.000 0.361
0.500 0.500 0.000



3.
LaGd2Br PBE optimized geometry; formation energy without anion corrections = -0.554 eV per atom
1.0
1.859 1.073 10.390
-1.859 1.073 10.390
0.000 -2.146 10.390
La Gd Br
1 2 1
Direct
0.000 0.000 0.000
0.241 0.241 0.241
0.759 0.759 0.759
0.500 0.500 0.500



4.
SrZrTa4 PBE optimized geometry; ΔH_f (0 K) = 0.561 eV/atom
1.0
0.000 4.046 4.046
4.046 0.000 4.046
4.046 4.046 0.000
Sr Zr Ta
1 1 4
Direct
0.000 0.000 0.000
0.250 0.250 0.250
0.125 0.625 0.625
0.625 0.125 0.625
0.625 0.625 0.125
0.625 0.625 0.625



| no. | magnetic moment (μB/f.u.) |
| --- | --- |
| 1 | 0.0 |
| 2 | 0.0 |
| 3 | 14.2 |
| 4 | 0.0 |